# In2Au2Br, relaxed, DFT GGA-PBEsol
# E_form (uncorrected): -0.55 eV/f.u.
# ΔE to the lowest computed polymorph: 0.0582 eV/atom
data_In2Au2Br
_chemical_formula_sum 'In4 Au4 Br2'
_space_group_name_H-M_alt 'I 4/m m m'
_space_group_IT_number 139
_space_group_name_Hall '-I 4 2'
_cell_length_a 4.962
_cell_length_b 4.962
_cell_length_c 10.191
_cell_angle_alpha 90.00
_cell_angle_beta 90.00
_cell_angle_gamma 90.00
loop_
_atom_site_label
_atom_site_fract_x
_atom_site_fract_y
_atom_site_fract_z
_atom_site_occupancy
In1 0.000 0.500 0.250 1
Au1 0.000 0.000 0.131 1
Br1 0.000 0.000 0.500 1